Record 1
The following is a GGA-PBE calculation of Nd2TlCo after structural relaxation, from Alexandria.

Output
DOS(E_F) (states/eV/f.u.): 1.42
Final energy (eV per atom): -4.7200

abc: 3.895 3.895 10.064
angles: 78.84 78.84 60.00
Positions (direct):
Tl 0.000 0.000 0.000
Nd 0.115 0.115 0.656
Nd 0.885 0.885 0.344
Co 0.500 0.500 0.500

Record 2
The following is a GGA-PBE calculation of NaScNbCu2 after structural relaxation, from Alexandria.

Output
DOS(E_F) (states/eV/f.u.): 4.01
Final energy (eV per atom): -3.9201

abc: 4.441 4.698 4.441
angles: 90.00 90.00 90.00
Site moments in Bohr magnetons follow the coordinates.
Positions (direct):
Cu 0.500 0.000 0.000  0.02
Cu 0.000 0.000 0.500  0.02
Sc 0.000 0.500 0.000  0.09
Na 0.000 0.000 0.000  -0.01
Nb 0.500 0.500 0.500  0.95

Record 3
The following is a GGA-PBE calculation of K2PuF7 after structural relaxation, from Alexandria.

Output
DOS(E_F) (states/eV/f.u.): 5.44
Formation energy from raw total energies (meV per atom): -3042.8
Final energy (eV per atom): -6.0054

abc: 6.818 7.763 7.843
angles: 65.25 64.23 63.95
Site moments in Bohr magnetons follow the coordinates.
Positions (direct):
F 0.634 0.250 0.750  -0.04
F 0.299 0.492 0.158  -0.03
F 0.056 0.601 0.555  -0.03
F 0.701 0.508 0.842  -0.03
F 0.052 0.992 0.658  -0.03
F 0.686 0.803 0.421  -0.02
F 0.090 0.303 0.921  -0.02
F 0.366 0.750 0.250  -0.04
F 0.788 0.101 0.055  -0.03
F 0.212 0.899 0.945  -0.03
F 0.948 0.008 0.342  -0.03
F 0.314 0.197 0.579  -0.02
F 0.910 0.697 0.079  -0.02
F 0.944 0.399 0.445  -0.03
K 0.346 0.098 0.261  0.00
K 0.654 0.902 0.739  0.00
K 0.704 0.402 0.239  0.00
K 0.296 0.598 0.761  0.00
Pu 0.049 0.750 0.250  3.20
Pu 0.951 0.250 0.750  3.20

Record 4
The following is a GGA-PBE calculation of Pm2PbN after structural relaxation, from Alexandria.

Output
ΔE to the lowest computed polymorph (kJ/mol of atoms): 48.45
DOS(E_F) (states/eV/f.u.): 2.49
Formation energy from raw total energies (meV per atom): -496.8
Final energy (eV per atom): -5.8806

abc: 3.249 3.249 8.129
angles: 90.00 90.00 90.00
Positions (direct):
Pb 0.500 0.500 0.500
Pm 0.000 0.000 0.182
Pm 0.000 0.000 0.818
N 0.500 0.500 0.000

Record 5
The following is a GGA-PBE calculation of Sc4GaC after structural relaxation, from Alexandria.

Output
DOS(E_F) (states/eV/f.u.): 7.87
Final energy (eV per atom): -6.5995

abc: 5.766 6.729 7.488
angles: 110.87 106.05 103.99
Positions (direct):
Sc 0.812 0.658 0.597
Sc 0.188 0.342 0.403
Sc 0.422 0.725 0.906
Sc 0.984 0.181 0.906
Sc 0.016 0.819 0.094
Sc 0.715 0.061 0.403
Sc 0.285 0.939 0.597
Sc 0.578 0.275 0.094
Ga 0.372 0.622 0.244
Ga 0.628 0.378 0.756
C 0.817 0.067 0.133
C 0.183 0.933 0.867

Record 6
The following is a GGA-PBE calculation of TlCCl3 after structural relaxation, from Alexandria.

Output
ΔE to the lowest computed polymorph (kJ/mol of atoms): 0.00
DOS(E_F) (states/eV/f.u.): 0.00
Formation energy from raw total energies (meV per atom): 441.5
Final energy (eV per atom): -2.9845

abc: 4.708 4.708 4.708
angles: 90.00 90.00 90.00
Positions (direct):
C 0.000 0.000 0.000
Cl 0.500 0.000 0.000
Cl 0.000 0.500 0.000
Cl 0.000 0.000 0.500
Tl 0.500 0.500 0.500